Entry from Alexandria via LeMat-Bulk: crystalline RbHfMo2O8 at its relaxed geometry (PBE with a Hubbard U).

- space group = No. 148
- raw total energy (eV/atom) = -7.465
- N(E_F) (states/eV/cell) = 3.8

a = 5.7209 Å, b = 5.7209 Å, c = 9.2244 Å
α = 71.93°, β = 71.93°, γ = 60.00°
Each line ends with the local moment (μB).
Sites, in units of the cell vectors:
Rb (0.5000, 0.5000, 0.5000)  0.00
Hf (0.0000, 0.0000, 0.0000)  0.12
Mo (0.2633, 0.2633, 0.2101)  0.52
Mo (0.7367, 0.7367, 0.7899)  0.52
O (0.1949, 0.1949, 0.4152)  -0.02
O (0.6248, 0.1989, 0.1393)  -0.03
O (0.8051, 0.8051, 0.5848)  -0.02
O (0.0369, 0.6248, 0.1393)  -0.03
O (0.9631, 0.3752, 0.8607)  -0.03
O (0.1989, 0.0369, 0.1393)  -0.03
O (0.8011, 0.9631, 0.8607)  -0.03
O (0.3752, 0.8011, 0.8607)  -0.03